1.
This record from the Alexandria database describes a relaxed NaCe2Au3 crystal. The functional is PBE.

The structure belongs to space group P-3m1 (No. 164); the cell edges are 5.1762, 5.1762 and 12.5535 Å and the angles 90.00°, 90.00° and 120.00°. The asymmetric unit holds Na at (0.3333, 0.6667, 0.1681), Ce at (0.0000, 0.0000, 0.0000), Ce at (0.0000, 0.0000, 0.5000), Ce at (0.3333, 0.6667, 0.6809), Au at (0.0000, 0.0000, 0.2538), Au at (0.3333, 0.6667, 0.4276) and Au at (0.3333, 0.6667, 0.9273).

The calculation puts the formation energy at -529 meV per atom. The density of states at the Fermi level comes out at 15.50 states/eV/f.u. The relative energy among the computed polymorphs is 0 meV per atom. As for the size of the total moment: 1.90 μB per formula unit.

2.
This record from the Alexandria database describes a relaxed Ga2SbAs crystal. The functional is PBE.

The structure belongs to space group R-3m (No. 166, hexagonal axes); the cell edges are 4.1311, 4.1311 and 23.4420 Å and the angles 90.00°, 90.00° and 120.00°. The asymmetric unit holds Ga at (0.0000, 0.0000, 0.1039), Sb at (0.0000, 0.0000, 0.5000) and As at (0.0000, 0.0000, 0.0000).

The value obtained for the uncorrected formation energy is 0.35 eV per atom. The density of states at the Fermi level comes out at 2.75 states/eV/f.u. As for the size of the total moment: 0.00 μB per formula unit.

3.
This record from the Alexandria database describes a relaxed Co2TcCl crystal. The functional is PBE.

The structure belongs to space group Pmm2 (No. 25); the cell edges are 2.806, 3.012 and 6.799 Å and the angles 90.00°, 90.00° and 90.00°. The asymmetric unit holds Co at (0.000, 0.000, 0.000), Co at (0.500, 0.500, 0.192), Tc at (0.000, 0.000, 0.401) and Cl at (0.500, 0.000, 0.704).

The value obtained for the uncorrected formation energy is 0.32 eV per atom. The density of states at the Fermi level comes out at 5.44 states/eV/f.u. The relative energy among the computed polymorphs is 29 meV per atom. As for the size of the total moment: 2.72 μB per formula unit.

4.
This record from the Alexandria database describes a relaxed BeNi2Pb crystal. The functional is PBE.

The structure belongs to space group P4mm (No. 99); the cell edges are 3.087, 3.087 and 5.984 Å and the angles 90.00°, 90.00° and 90.00°. The asymmetric unit holds Be at (0.000, 0.000, 0.000), Ni at (0.000, 0.000, 0.354), Ni at (0.500, 0.500, 0.102) and Pb at (0.500, 0.500, 0.633).

The calculation puts the formation energy at 179 meV per atom. The density of states at the Fermi level comes out at 1.96 states/eV/f.u. The relative energy among the computed polymorphs is 122 meV per atom. As for the size of the total moment: 0.00 μB per formula unit.

5.
This record from the Alexandria database describes a relaxed Sm4CuRu crystal. The functional is PBE.

The structure belongs to space group I4_1md (No. 109); the cell edges are 9.397, 9.397 and 8.456 Å and the angles 90.00°, 90.00° and 90.00°. The asymmetric unit holds Sm at (0.000, 0.298, 0.000), Sm at (0.000, 0.303, 0.480), Cu at (0.000, 0.000, 0.487) and Ru at (0.000, 0.000, 0.991).

The calculation puts the formation energy at -49 meV per atom. The density of states at the Fermi level comes out at 5.33 states/eV/f.u. The relative energy among the computed polymorphs is 106 meV per atom. As for the size of the total moment: 0.00 μB per formula unit.

6.
This record from the Alexandria database describes a relaxed Zr2ScPt crystal. The functional is PBE.

The structure belongs to space group P4mm (No. 99); the cell edges are 3.353, 3.353 and 7.388 Å and the angles 90.00°, 90.00° and 90.00°. The asymmetric unit holds Zr at (0.000, 0.000, 0.000), Zr at (0.500, 0.500, 0.276), Sc at (0.500, 0.500, 0.715) and Pt at (0.000, 0.000, 0.498).

The calculation puts the formation energy at -575 meV per atom. The density of states at the Fermi level comes out at 4.17 states/eV/f.u. The relative energy among the computed polymorphs is 3 meV per atom. As for the size of the total moment: 0.00 μB per formula unit.

7.
This record from the Alexandria database describes a relaxed K3Au crystal. The functional is PBE.

The structure belongs to space group P2/m (No. 10); the cell edges are 6.761, 4.750 and 7.790 Å and the angles 90.00°, 115.63° and 90.00°. The asymmetric unit holds K at (0.000, 0.000, 0.000), K at (0.339, 0.500, 0.678) and Au at (0.500, 0.000, 0.000).

The calculation puts the formation energy at -138 meV per atom. The density of states at the Fermi level comes out at 1.55 states/eV/f.u. As for the size of the total moment: 0.00 μB per formula unit.

8.
This record from the Alexandria database describes a relaxed TaCuMoRu2 crystal. The functional is PBE.

The structure belongs to space group P4/mmm (No. 123); the cell edges are 4.553, 4.553 and 4.570 Å and the angles 90.00°, 90.00° and 90.00°. The asymmetric unit holds Ta at (0.000, 0.000, 0.000), Cu at (0.500, 0.500, 0.000), Mo at (0.500, 0.500, 0.500) and Ru at (0.000, 0.500, 0.500).

The calculation puts the formation energy at 1576 meV per atom. The density of states at the Fermi level comes out at 5.48 states/eV/f.u. As for the size of the total moment: 0.00 μB per formula unit.

9.
This record from the Alexandria database describes a relaxed NaPtSe3 crystal. The functional is PBE.

The structure belongs to space group Pm-3m (No. 221); the cell edges are 4.960, 4.960 and 4.960 Å and the angles 90.00°, 90.00° and 90.00°. The asymmetric unit holds Na at (0.000, 0.000, 0.000), Pt at (0.500, 0.500, 0.500) and Se at (0.000, 0.000, 0.500).

The value obtained for the uncorrected formation energy is 1.15 eV per atom. The density of states at the Fermi level comes out at 7.16 states/eV/f.u. The relative energy among the computed polymorphs is 1554 meV per atom. As for the size of the total moment: 0.00 μB per formula unit.

10.
This record from the Alexandria database describes a relaxed RbIn2Pb2Au2 crystal. The functional is PBE.

The structure belongs to space group R-3m (No. 166, hexagonal axes); the cell edges are 4.8792, 4.8792 and 31.2783 Å and the angles 90.00°, 90.00° and 120.00°. The asymmetric unit holds Rb at (0.0000, 0.0000, 0.0000), In at (0.0000, 0.0000, 0.2529), Pb at (0.0000, 0.0000, 0.1383) and Au at (0.0000, 0.0000, 0.4274).

The calculation puts the formation energy at -145 meV per atom. The density of states at the Fermi level comes out at 3.05 states/eV/f.u. As for the size of the total moment: 0.00 μB per formula unit.

11.
This record from the Alexandria database describes a relaxed Y2ScIn4 crystal. The functional is PBE.

The structure belongs to space group I4/mmm (No. 139); the cell edges are 5.142, 5.142 and 14.388 Å and the angles 90.00°, 90.00° and 90.00°. The asymmetric unit holds Y at (0.000, 0.000, 0.248), Sc at (0.000, 0.000, 0.000) and In at (0.000, 0.500, 0.108).

The calculation puts the formation energy at -347 meV per atom. The density of states at the Fermi level comes out at 5.68 states/eV/f.u. As for the size of the total moment: 0.24 μB per formula unit.

12.
This record from the Alexandria database describes a relaxed La4Hg2Rh crystal. The functional is PBE.

The structure belongs to space group I4/mmm (No. 139); the cell edges are 5.498, 5.498 and 15.731 Å and the angles 90.00°, 90.00° and 90.00°. The asymmetric unit holds La at (0.000, 0.000, 0.186), La at (0.000, 0.500, 0.000), Hg at (0.000, 0.000, 0.381) and Rh at (0.000, 0.000, 0.000).

The calculation puts the formation energy at -402 meV per atom. The density of states at the Fermi level comes out at 7.96 states/eV/f.u. The relative energy among the computed polymorphs is 103 meV per atom. As for the size of the total moment: 0.00 μB per formula unit.

13.
This record from the Alexandria database describes a relaxed RbZnCdF6 crystal. The functional is PBE.

The structure belongs to space group Imma (No. 74); the cell edges are 7.519, 7.664 and 10.100 Å and the angles 90.00°, 90.00° and 90.00°. The asymmetric unit holds Rb at (0.000, 0.250, 0.149), Zn at (0.000, 0.000, 0.500), Cd at (0.250, 0.250, 0.750), F at (0.000, 0.250, 0.555), F at (0.000, 0.250, 0.861) and F at (0.184, 0.021, 0.364).

The value obtained for the uncorrected formation energy is -2.15 eV per atom. The density of states at the Fermi level comes out at 2.55 states/eV/f.u. As for the size of the total moment: 1.03 μB per formula unit.